SrTaCl | PBE-GGA | optimized geometry

The structure in POSCAR format:
```
SrTaCl
1.0
4.949 0.000 0.000
2.475 4.286 0.000
2.475 1.429 4.041
Cl Sr Ta
1 1 1
direct
0.250 0.250 0.250
0.000 0.000 0.000
0.500 0.500 0.500
```

formation energy from raw total energies = 863 meV per atom
final energy = -4.264 eV per atom
symmetry = F-43m
ΔE to the lowest computed polymorph = 754 meV/atom
density of states at the Fermi level = 2.019 states/eV per cell